The following is a meta-GGA SCAN calculation of a PBEsol-optimized structure of InFeW, from Alexandria via LeMat-Bulk.

Cell and atoms, written as POSCAR:
```
InFeW
1.0
0.000 2.270 6.508
1.594 0.000 6.508
1.594 2.270 0.000
In Fe W
1 1 1
direct
0.000 0.000 0.000
0.333 0.333 0.667
0.686 0.686 0.314
```

Results
- electronic total energy (eV/cell) = -119.9
- ρ (g/cm³) = 12.5
- formation enthalpy at 0 K (eV per atom) = 0.419